First-principles (PBE with a Hubbard U) data for an optimized crystal structure of CoAsNO2, as listed in the Alexandria database.

Its total DFT energy (no corrections) is -26.38 eV per formula unit. The total magnetic moment is 3.03 μB per formula unit.

The space group is P4/mmm (No. 123) and the conventional cell measures 3.7280, 3.7280 and 3.7555 Å, with angles of 90.00, 90.00 and 90.00 degrees. The asymmetric unit holds Co at (0.0000, 0.0000, 0.0000), As at (0.5000, 0.5000, 0.5000), N at (0.5000, 0.5000, 0.0000) and O at (0.0000, 0.5000, 0.5000).